BaRe2Ir: optimized geometry, PBE-GGA.

It has space group Immm (No. 71), with a = 2.831 Å, b = 5.170 Å, c = 10.843 Å, α = 90.00°, β = 90.00° and γ = 90.00°. The distinct sites, in fractional coordinates, are Ba at (0.000, 0.000, 0.000), Re at (0.000, 0.500, 0.212) and Ir at (0.000, 0.000, 0.500).

The calculation puts the formation enthalpy at 0 K at 0.971 eV per atom. For the energy above the most stable polymorph in this dataset, the calculation gives 126 kJ/mol of formula units. For the raw total energy, the calculation gives -31.8 eV/f.u.



BaReIr2: optimized geometry, PBE-GGA.

It has space group Cmmm (No. 65), with a = 6.160 Å, b = 8.344 Å, c = 2.927 Å, α = 90.00°, β = 90.00° and γ = 90.00°. The distinct sites, in fractional coordinates, are Ba at (0.000, 0.000, 0.000), Re at (0.000, 0.500, 0.000) and Ir at (0.250, 0.250, 0.500).

The calculation puts the formation enthalpy at 0 K at 0.955 eV per atom. For the energy above the most stable polymorph in this dataset, the calculation gives 335 kJ/mol of formula units. For the raw total energy, the calculation gives -28.3 eV/f.u.



BaRe2Ir: optimized geometry, PBE-GGA.

It has space group I-42d (No. 122), with a = 7.816 Å, b = 7.816 Å, c = 5.842 Å, α = 90.00°, β = 90.00° and γ = 90.00°. The distinct sites, in fractional coordinates, are Ba at (0.000, 0.000, 0.000), Re at (0.181, 0.250, 0.625) and Ir at (0.000, 0.000, 0.500).

The calculation puts the formation enthalpy at 0 K at 1.362 eV per atom. For the energy above the most stable polymorph in this dataset, the calculation gives 277 kJ/mol of formula units. For the raw total energy, the calculation gives -30.2 eV/f.u.



BaReIr: optimized geometry, PBE-GGA.

It has space group Cmc2_1 (No. 36), with a = 4.496 Å, b = 12.024 Å, c = 5.297 Å, α = 90.00°, β = 90.00° and γ = 90.00°. The distinct sites, in fractional coordinates, are Ba at (0.000, 0.225, 0.000), Re at (0.000, 0.031, 0.492) and Ir at (0.000, 0.488, 0.262).

The calculation puts the formation enthalpy at 0 K at 0.262 eV per atom. For the energy above the most stable polymorph in this dataset, the calculation gives 26 kJ/mol of formula units. For the raw total energy, the calculation gives -22.4 eV/f.u.



BaReIr2: optimized geometry, PBE-GGA.

It has space group I-42d (No. 122), with a = 7.627 Å, b = 7.627 Å, c = 6.967 Å, α = 90.00°, β = 90.00° and γ = 90.00°. The distinct sites, in fractional coordinates, are Ba at (0.000, 0.000, 0.000), Re at (0.000, 0.000, 0.500) and Ir at (0.154, 0.250, 0.625).

The calculation puts the formation enthalpy at 0 K at 0.648 eV per atom. For the energy above the most stable polymorph in this dataset, the calculation gives 217 kJ/mol of formula units. For the raw total energy, the calculation gives -29.5 eV/f.u.



BaReIr: optimized geometry, PBE-GGA.

It has space group I4mm (No. 107), with a = 3.436 Å, b = 3.436 Å, c = 12.150 Å, α = 90.00°, β = 90.00° and γ = 90.00°. The distinct sites, in fractional coordinates, are Ba at (0.000, 0.000, 0.000), Re at (0.000, 0.000, 0.720) and Ir at (0.000, 0.000, 0.285).

The calculation puts the formation enthalpy at 0 K at 0.542 eV per atom. For the energy above the most stable polymorph in this dataset, the calculation gives 107 kJ/mol of formula units. For the raw total energy, the calculation gives -21.6 eV/f.u.



BaRe2Ir2: optimized geometry, PBE-GGA.

It has space group I4/mmm (No. 139), with a = 4.587 Å, b = 4.587 Å, c = 9.914 Å, α = 90.00°, β = 90.00° and γ = 90.00°. The distinct sites, in fractional coordinates, are Ba at (0.000, 0.000, 0.000), Re at (0.000, 0.000, 0.369) and Ir at (0.000, 0.500, 0.250).

The calculation puts the formation enthalpy at 0 K at 0.418 eV per atom. For the energy above the most stable polymorph in this dataset, the calculation gives 45 kJ/mol of formula units. For the raw total energy, the calculation gives -42.4 eV/f.u.



BaRe2Ir: optimized geometry, PBE-GGA.

It has space group P2/m (No. 10), with a = 4.035 Å, b = 4.598 Å, c = 5.747 Å, α = 90.00°, β = 102.34° and γ = 90.00°. The distinct sites, in fractional coordinates, are Ba at (0.000, 0.000, 0.000), Re at (0.282, 0.500, 0.613) and Ir at (0.500, 0.000, 0.500).

The calculation puts the formation enthalpy at 0 K at 0.849 eV per atom. For the energy above the most stable polymorph in this dataset, the calculation gives 79 kJ/mol of formula units. For the raw total energy, the calculation gives -32.3 eV/f.u.



BaReIr: optimized geometry, PBE-GGA.

It has space group Cm (No. 8), with a = 11.985 Å, b = 4.516 Å, c = 5.283 Å, α = 90.00°, β = 90.49° and γ = 90.00°. The distinct sites, in fractional coordinates, are Ba at (0.000, 0.000, 0.000), Ba at (0.054, 0.500, 0.495), Re at (0.281, 0.000, 0.765), Re at (0.308, 0.500, 0.488), Ir at (0.242, 0.500, 0.985) and Ir at (0.275, 0.000, 0.262).

The calculation puts the formation enthalpy at 0 K at 0.213 eV per atom. For the energy above the most stable polymorph in this dataset, the calculation gives 12 kJ/mol of formula units. For the raw total energy, the calculation gives -22.6 eV/f.u.



BaReIr: optimized geometry, PBE-GGA.

It has space group F-43m (No. 216), with a = 6.756 Å, b = 6.756 Å, c = 6.756 Å, α = 90.00°, β = 90.00° and γ = 90.00°. The distinct sites, in fractional coordinates, are Ba at (0.000, 0.000, 0.000), Re at (0.250, 0.250, 0.750) and Ir at (0.250, 0.250, 0.250).

The calculation puts the formation enthalpy at 0 K at 2.445 eV per atom. For the energy above the most stable polymorph in this dataset, the calculation gives 658 kJ/mol of formula units. For the raw total energy, the calculation gives -15.9 eV/f.u.



BaReIr2: optimized geometry, PBE-GGA.

It has space group Fm-3m (No. 225), with a = 6.774 Å, b = 6.774 Å, c = 6.774 Å, α = 90.00°, β = 90.00° and γ = 90.00°. The distinct sites, in fractional coordinates, are Ba at (0.000, 0.000, 0.000), Re at (0.000, 0.000, 0.500) and Ir at (0.250, 0.250, 0.250).

The calculation puts the formation enthalpy at 0 K at 1.185 eV per atom. For the energy above the most stable polymorph in this dataset, the calculation gives 424 kJ/mol of formula units. For the raw total energy, the calculation gives -27.4 eV/f.u.



BaRe2Ir: optimized geometry, PBE-GGA.

It has space group Pmmm (No. 47), with a = 2.916 Å, b = 5.000 Å, c = 5.292 Å, α = 90.00°, β = 90.00° and γ = 90.00°. The distinct sites, in fractional coordinates, are Ba at (0.000, 0.000, 0.000), Re at (0.000, 0.500, 0.500), Re at (0.500, 0.000, 0.500) and Ir at (0.500, 0.500, 0.000).

The calculation puts the formation enthalpy at 0 K at 1.374 eV per atom. For the energy above the most stable polymorph in this dataset, the calculation gives 281 kJ/mol of formula units. For the raw total energy, the calculation gives -30.2 eV/f.u.



BaReIr2: optimized geometry, PBE-GGA.

It has space group P4mm (No. 99), with a = 3.228 Å, b = 3.228 Å, c = 7.871 Å, α = 90.00°, β = 90.00° and γ = 90.00°. The distinct sites, in fractional coordinates, are Ba at (0.000, 0.000, 0.000), Re at (0.500, 0.500, 0.657), Ir at (0.000, 0.000, 0.507) and Ir at (0.500, 0.500, 0.307).

The calculation puts the formation enthalpy at 0 K at 0.642 eV per atom. For the energy above the most stable polymorph in this dataset, the calculation gives 214 kJ/mol of formula units. For the raw total energy, the calculation gives -29.5 eV/f.u.



BaReIr: optimized geometry, PBE-GGA.

It has space group P1 (No. 1), with a = 4.846 Å, b = 4.873 Å, c = 10.039 Å, α = 89.63°, β = 82.13° and γ = 66.01°. The distinct sites, in fractional coordinates, are Ba at (0.000, 0.000, 0.000), Ba at (0.216, 0.410, 0.424), Re at (0.093, 0.462, 0.751), Re at (0.593, 0.962, 0.748), Ir at (0.122, 0.951, 0.664) and Ir at (0.622, 0.452, 0.665).

The calculation puts the formation enthalpy at 0 K at 0.251 eV per atom. For the energy above the most stable polymorph in this dataset, the calculation gives 23 kJ/mol of formula units. For the raw total energy, the calculation gives -22.5 eV/f.u.